# LiLuFeTe

Crystalline LiLuFeTe at its relaxed geometry (PBE, OQMD via LeMat-Bulk).

Cell: 4.7765 4.7765 4.7765 Å, 60.00 60.00 60.00°
Atoms (fractional coordinates):
Li1 0.0000 0.0000 0.0000
Lu1 0.2500 0.2500 0.2500
Fe1 0.7500 0.7500 0.7500
Te1 0.5000 0.5000 0.5000

Computed properties:
uncorrected energy: -4.393 eV/atom
energy above the lowest structure with this stoichiometry: 327 meV/atom